Record 1
# Li6CuB4O10 PBE relaxed
data_Li6CuB4O10
_chemical_formula_sum 'Li18 Cu3 B12 O30'
_cell_length_a 4.916
_cell_length_b 9.377
_cell_length_c 14.150
_cell_angle_alpha 104.85
_cell_angle_beta 97.41
_cell_angle_gamma 93.51
_space_group_name_H-M_alt 'P 1'
_space_group_IT_number 1
loop_
_space_group_symop_operation_xyz
'x,y,z'
loop_
_atom_site_label
_atom_site_fract_x
_atom_site_fract_y
_atom_site_fract_z
_atom_site_occupancy
Li1 0.012 0.096 0.303 1
Li2 0.060 0.930 0.896 1
Li3 0.119 0.327 0.188 1
Li4 0.134 0.066 0.588 1
Li5 0.165 0.357 0.012 1
Li6 0.291 0.559 0.868 1
Li7 0.412 0.419 0.686 1
Li8 0.432 0.123 0.469 1
Li9 0.450 0.696 0.685 1
Li10 0.550 0.304 0.315 1
Li11 0.568 0.877 0.531 1
Li12 0.588 0.581 0.314 1
Li13 0.709 0.441 0.132 1
Li14 0.835 0.643 0.988 1
Li15 0.866 0.934 0.412 1
Li16 0.881 0.673 0.812 1
Li17 0.940 0.070 0.104 1
Li18 0.988 0.904 0.697 1
Cu1 0.199 0.183 0.831 1
Cu2 0.500 0.500 0.500 1
Cu3 0.801 0.817 0.169 1
B1 0.042 0.501 0.352 1
B2 0.090 0.726 0.504 1
B3 0.220 0.605 0.170 1
B4 0.296 0.841 0.317 1
B5 0.326 0.815 0.020 1
B6 0.421 0.048 0.168 1
B7 0.579 0.952 0.832 1
B8 0.674 0.185 0.980 1
B9 0.704 0.159 0.683 1
B10 0.780 0.395 0.830 1
B11 0.910 0.274 0.496 1
B12 0.958 0.499 0.648 1
O1 0.027 0.147 0.459 1
O2 0.034 0.373 0.874 1
O3 0.040 0.886 0.294 1
O4 0.056 0.376 0.583 1
O5 0.139 0.750 0.938 1
O6 0.147 0.576 0.726 1
O7 0.262 0.955 0.079 1
O8 0.282 0.157 0.219 1
O9 0.311 0.468 0.366 1
O10 0.311 0.972 0.805 1
O11 0.333 0.475 0.143 1
O12 0.342 0.696 0.546 1
O13 0.378 0.713 0.253 1
O14 0.442 0.246 0.954 1
O15 0.471 0.912 0.399 1
O16 0.529 0.088 0.601 1
O17 0.558 0.754 0.046 1
O18 0.622 0.287 0.747 1
O19 0.658 0.304 0.454 1
O20 0.667 0.525 0.857 1
O21 0.689 0.028 0.195 1
O22 0.689 0.532 0.634 1
O23 0.718 0.843 0.781 1
O24 0.738 0.045 0.921 1
O25 0.853 0.424 0.274 1
O26 0.861 0.250 0.062 1
O27 0.944 0.624 0.417 1
O28 0.960 0.114 0.706 1
O29 0.966 0.627 0.126 1
O30 0.973 0.853 0.541 1
# formation energy (no corrections): -2162 meV per atom
# total magnetization: 3.00 Bohr magnetons per cell
# calculated total energy: -6.54 eV/atom
# distance to the lowest polymorph of the same formula: 2.3 meV per atom

Record 2
# ZrCuGe2 PBE relaxed
data_ZrCuGe2
_chemical_formula_sum 'Zr4 Cu4 Ge8'
_cell_length_a 7.008
_cell_length_b 7.008
_cell_length_c 5.802
_cell_angle_alpha 90.00
_cell_angle_beta 90.00
_cell_angle_gamma 90.00
_space_group_name_H-M_alt 'P 1'
_space_group_IT_number 1
loop_
_space_group_symop_operation_xyz
'x,y,z'
loop_
_atom_site_label
_atom_site_fract_x
_atom_site_fract_y
_atom_site_fract_z
_atom_site_occupancy
Zr1 0.000 0.000 0.000 1
Zr2 0.000 0.500 0.250 1
Zr3 0.500 0.000 0.750 1
Zr4 0.500 0.500 0.500 1
Cu1 0.000 0.000 0.500 1
Cu2 0.000 0.500 0.750 1
Cu3 0.500 0.000 0.250 1
Cu4 0.500 0.500 0.000 1
Ge1 0.206 0.250 0.625 1
Ge2 0.250 0.706 0.875 1
Ge3 0.250 0.794 0.375 1
Ge4 0.294 0.250 0.125 1
Ge5 0.706 0.750 0.125 1
Ge6 0.750 0.206 0.375 1
Ge7 0.750 0.294 0.875 1
Ge8 0.794 0.750 0.625 1
# total magnetization: 0.00 Bohr magnetons per cell
# calculated total energy: -5.65 eV/atom
# N(E_F): 0.60 states/eV/atom

Record 3
# MgSb3O PBE relaxed
data_MgSb3O
_chemical_formula_sum 'Mg1 Sb3 O1'
_cell_length_a 5.264
_cell_length_b 5.264
_cell_length_c 5.264
_cell_angle_alpha 90.00
_cell_angle_beta 90.00
_cell_angle_gamma 90.00
_space_group_name_H-M_alt 'P 1'
_space_group_IT_number 1
loop_
_space_group_symop_operation_xyz
'x,y,z'
loop_
_atom_site_label
_atom_site_fract_x
_atom_site_fract_y
_atom_site_fract_z
_atom_site_occupancy
Mg1 0.000 0.000 0.000 1
Sb1 0.000 0.000 0.500 1
Sb2 0.000 0.500 0.000 1
Sb3 0.500 0.000 0.000 1
O1 0.500 0.500 0.500 1
# formation energy (no corrections): 1019 meV per atom
# total magnetization: 0.00 Bohr magnetons per cell
# calculated total energy: -2.77 eV/atom
# N(E_F): 2.97 states/eV/atom
# distance to the lowest polymorph of the same formula: 1135.2 meV per atom

Record 4
# CsSr2NpO5 PBE relaxed
data_CsSr2NpO5
_chemical_formula_sum 'Cs1 Sr2 Np1 O5'
_cell_length_a 7.053
_cell_length_b 7.053
_cell_length_c 7.053
_cell_angle_alpha 143.70
_cell_angle_beta 124.86
_cell_angle_gamma 67.83
_space_group_name_H-M_alt 'P 1'
_space_group_IT_number 1
loop_
_space_group_symop_operation_xyz
'x,y,z'
loop_
_atom_site_label
_atom_site_fract_x
_atom_site_fract_y
_atom_site_fract_z
_atom_site_occupancy
Cs1 0.000 0.000 0.000 1
Sr1 0.276 0.776 0.500 1
Sr2 0.724 0.224 0.500 1
Np1 0.500 0.500 0.000 1
O1 0.147 0.363 0.785 1
O2 0.422 0.637 0.785 1
O3 0.500 0.000 0.500 1
O4 0.578 0.363 0.215 1
O5 0.853 0.637 0.215 1
# formation energy (no corrections): -2708 meV per atom
# total magnetization: 2.00 Bohr magnetons per cell
# calculated total energy: -7.37 eV/atom
# N(E_F): 0.44 states/eV/atom

Record 5
# TmAg2Sn PBE relaxed
data_TmAg2Sn
_chemical_formula_sum 'Tm1 Ag2 Sn1'
_cell_length_a 3.780
_cell_length_b 3.780
_cell_length_c 6.297
_cell_angle_alpha 90.00
_cell_angle_beta 90.00
_cell_angle_gamma 90.00
_space_group_name_H-M_alt 'P 1'
_space_group_IT_number 1
loop_
_space_group_symop_operation_xyz
'x,y,z'
loop_
_atom_site_label
_atom_site_fract_x
_atom_site_fract_y
_atom_site_fract_z
_atom_site_occupancy
Tm1 0.000 0.000 0.000 1
Ag1 0.500 0.500 0.241 1
Ag2 0.500 0.500 0.759 1
Sn1 0.000 0.000 0.500 1
# total magnetization: 0.00 Bohr magnetons per cell
# calculated total energy: -3.78 eV/atom
# N(E_F): 0.52 states/eV/atom

Record 6
# Na3Cd8Au4 PBE relaxed
data_Na3Cd8Au4
_chemical_formula_sum 'Na6 Cd16 Au8'
_cell_length_a 9.779
_cell_length_b 9.779
_cell_length_c 9.779
_cell_angle_alpha 60.00
_cell_angle_beta 60.00
_cell_angle_gamma 60.00
_space_group_name_H-M_alt 'P 1'
_space_group_IT_number 1
loop_
_space_group_symop_operation_xyz
'x,y,z'
loop_
_atom_site_label
_atom_site_fract_x
_atom_site_fract_y
_atom_site_fract_z
_atom_site_occupancy
Na1 0.214 0.214 0.786 1
Na2 0.214 0.786 0.214 1
Na3 0.214 0.786 0.786 1
Na4 0.786 0.214 0.214 1
Na5 0.786 0.214 0.786 1
Na6 0.786 0.786 0.214 1
Cd1 0.140 0.620 0.620 1
Cd2 0.161 0.161 0.161 1
Cd3 0.161 0.161 0.518 1
Cd4 0.161 0.518 0.161 1
Cd5 0.380 0.380 0.380 1
Cd6 0.380 0.380 0.860 1
Cd7 0.380 0.860 0.380 1
Cd8 0.482 0.839 0.839 1
Cd9 0.518 0.161 0.161 1
Cd10 0.620 0.140 0.620 1
Cd11 0.620 0.620 0.140 1
Cd12 0.620 0.620 0.620 1
Cd13 0.839 0.482 0.839 1
Cd14 0.839 0.839 0.482 1
Cd15 0.839 0.839 0.839 1
Cd16 0.860 0.380 0.380 1
Au1 0.000 0.000 0.000 1
Au2 0.000 0.000 0.500 1
Au3 0.000 0.500 0.000 1
Au4 0.000 0.500 0.500 1
Au5 0.500 0.000 0.000 1
Au6 0.500 0.000 0.500 1
Au7 0.500 0.500 0.000 1
Au8 0.500 0.500 0.500 1
# total magnetization: 0.00 Bohr magnetons per cell
# calculated total energy: -1.85 eV/atom
# N(E_F): 0.69 states/eV/atom